[1]
Compound: BaTaMn2
Source: the Alexandria database
Functional: PBE-GGA
Structure: relaxed

Output
energy of formation: 2.3 eV/f.u.
space group: R3m, No. 160

```
4
Lattice="7.128 0.007 0.004 6.014 3.828 0.004 6.014 1.755 3.402" Properties=species:S:1:pos:R:3 pbc="T T T"
Ba 14.097 4.113 2.509
Mn 18.087 5.277 3.220
Mn 5.167 1.508 0.920
Ta 10.538 3.075 1.876
```


[2]
Compound: AlVAu2
Source: the Alexandria database
Functional: PBE-GGA
Structure: relaxed

Output
energy of formation: -0.2 eV/f.u.
space group: F-43m, No. 216

```
4
Lattice="-0.346 1.386 4.306 -3.837 -0.714 2.312 -0.089 -3.045 3.363" Properties=species:S:1:pos:R:3 pbc="T T T"
Al -3.204 -1.780 7.485
V -2.136 -1.187 4.990
Au -0.089 -3.044 3.363
Au -1.068 -0.593 2.495
```


[3]
Compound: GeTeBr3
Source: the Alexandria database
Functional: PBE-GGA
Structure: relaxed

Output
space group: Pm-3m, No. 221
ΔE_f (raw): 1.612 eV/f.u.

```
5
Lattice="5.687 0.000 0.000 0.000 5.687 0.000 0.000 0.000 5.687" Properties=species:S:1:pos:R:3 pbc="T T T"
Ge 2.843 2.843 2.843
Te 0.000 0.000 0.000
Br 0.000 2.843 0.000
Br 0.000 0.000 2.843
Br 2.843 0.000 0.000
```


[4]
Compound: SrCaFe2
Source: the Alexandria database
Functional: PBE-GGA
Structure: relaxed

Output
energy of formation: 2.5 eV/f.u.
space group: Pmmm, No. 47

```
4
Lattice="3.819 0.000 0.000 0.000 3.888 0.014 0.000 3.866 6.947" Properties=species:S:1:pos:R:3 pbc="T T T"
Sr 1.910 1.939 1.740
Ca 1.910 5.816 5.220
Fe 0.000 3.867 6.365
Fe 0.000 3.877 4.063
```


[5]
Compound: ErGa2Ni2
Source: the Alexandria database
Functional: PBE-GGA
Structure: relaxed

Output
energy of formation: -2.7 eV/f.u.
space group: I4/mmm, No. 139

```
10
Lattice="4.016 0.347 0.000 -0.348 4.016 0.000 0.000 0.000 10.035" Properties=species:S:1:pos:R:3 pbc="T T T"
Er 2.751 3.272 2.509
Er 0.917 1.091 7.526
Ga 2.751 3.273 6.263
Ga 0.917 1.091 1.245
Ga 2.751 3.273 8.790
Ga 0.917 1.091 3.772
Ni 0.743 3.099 0.000
Ni 2.925 1.265 5.018
Ni 0.743 3.099 5.018
Ni 2.925 1.265 0.000
```


[6]
Compound: CuMoS2N
Source: the Alexandria database
Functional: PBE-GGA
Structure: relaxed

Output
space group: P4/mmm, No. 123
ΔE_f (raw): 2.025 eV/f.u.

```
5
Lattice="4.801 0.000 0.000 0.000 4.801 0.000 0.000 0.000 3.774" Properties=species:S:1:pos:R:3 pbc="T T T"
Mo 0.000 0.000 0.000
S 0.000 2.401 0.000
S 2.401 0.000 0.000
Cu 2.401 2.401 1.887
N 0.000 0.000 1.887
```


[7]
Compound: Li4Au3
Source: the Alexandria database
Functional: PBE-GGA
Structure: relaxed

Output
energy of formation: -3.6 eV/f.u.
space group: Immm, No. 71

```
7
Lattice="-2.151 1.873 -0.554 -2.359 -2.186 1.767 4.248 5.007 8.055" Properties=species:S:1:pos:R:3 pbc="T T T"
Li -0.226 3.002 3.413
Li -0.035 1.691 5.855
Li 0.525 3.054 8.290
Li -0.787 1.639 0.978
Au 0.326 4.347 5.813
Au -1.179 -1.093 0.884
Au -0.588 0.347 3.455
```


[8]
Compound: Te2PBr
Source: the Alexandria database
Functional: PBE-GGA
Structure: relaxed

Output
space group: Pmm2, No. 25
ΔE_f (raw): 0.548 eV/f.u.

```
4
Lattice="-1.474 1.573 -3.028 -3.715 -2.042 0.747 -2.504 6.177 4.428" Properties=species:S:1:pos:R:3 pbc="T T T"
Br -1.386 3.418 2.450
P -4.807 5.224 2.773
Te -2.194 5.411 3.879
Te -3.063 0.921 -0.312
```


[9]
Compound: BeInTe2
Source: the Alexandria database
Functional: PBE-GGA
Structure: relaxed

Output
space group: Cmm2, No. 35
ΔE_f (raw): 0.967 eV/f.u.

```
4
Lattice="-1.437 1.366 2.672 1.921 -2.535 0.975 7.678 6.189 0.965" Properties=species:S:1:pos:R:3 pbc="T T T"
Be 3.802 3.065 0.478
Te 7.418 5.979 0.932
Te 2.873 1.536 2.154
In 5.585 3.722 2.494
```